(1)
TiCdAu2 after structural relaxation, computed with PBE.

ΔE_f = -305 meV/atom

Cell lengths 3.303, 3.303, 6.768 Å; angles 90.00, 90.00, 90.00 degrees
Sites, in units of the cell vectors:
Ti1 0.000 0.000 0.000
Cd1 0.000 0.000 0.500
Au1 0.500 0.500 0.226
Au2 0.500 0.500 0.774


(2)
TiCdAu2 after structural relaxation, computed with PBE.

ΔE_f = 83 meV/atom

Cell lengths 6.051, 6.051, 6.051 Å; angles 103.22, 103.22, 122.86 degrees
Sites, in units of the cell vectors:
Ti1 0.000 0.000 0.000
Ti2 0.750 0.250 0.500
Cd1 0.250 0.750 0.500
Cd2 0.500 0.500 0.000
Au1 0.105 0.125 0.480
Au2 0.375 0.895 0.020
Au3 0.645 0.625 0.520
Au4 0.875 0.355 0.980


Question: Number 2 is which compound?
Answer: TiCdAu2


Question: Among the records above, which one has the lowest ΔE_f?
Answer: number 1


Question: Look up the ΔE_f of the second one.
Answer: 83 meV/atom